Here is an optimized crystal structure of Pm2Sn7Rh12 from Alexandria. Energies are from PBE.

Computed properties:
calculated volume	18.69	Å³/atom
magnetic moment	0.00	Bohr magnetons per cell
DFT formation energy	-1016	kJ/mol of formula units

```
data_Pm2Sn7Rh12
_chemical_formula_sum 'Pm2 Sn7 Rh12'
_symmetry_space_group_name_H-M 'P -6'
_symmetry_Int_Tables_number 174
_cell_length_a 10.3524
_cell_length_b 10.3524
_cell_length_c 4.2284
_cell_angle_alpha 90.00
_cell_angle_beta 90.00
_cell_angle_gamma 120.00
loop_
_symmetry_equiv_pos_as_xyz
'x,y,z'
'-x+y,-x,-z'
'-y,x-y,z'
'x,y,-z'
'-x+y,-x,z'
'-y,x-y,-z'
loop_
_atom_site_label
_atom_site_fract_x
_atom_site_fract_y
_atom_site_fract_z
Pm1 0.0000 0.0000 0.0000
Pm2 0.3333 0.6667 0.5000
Sn1 0.0489 0.4575 0.0000
Sn2 0.2667 0.2391 0.5000
Sn3 0.6667 0.3333 0.0000
Rh1 0.0338 0.2753 0.5000
Rh2 0.1311 0.7395 0.0000
Rh3 0.3796 0.1853 0.0000
Rh4 0.5637 0.4327 0.5000
```



Here is an optimized crystal structure of Pm12SnRh6 from Alexandria. Energies are from PBE.

Computed properties:
calculated volume	28.31	Å³/atom
magnetic moment	0.00	Bohr magnetons per cell
DFT formation energy	-939	kJ/mol of formula units

```
data_Pm12SnRh6
_chemical_formula_sum 'Pm36 Sn3 Rh18'
_symmetry_space_group_name_H-M 'R -3'
_symmetry_Int_Tables_number 148
_symmetry_space_group_name_Hall '-R 3'
_cell_length_a 14.3010
_cell_length_b 14.3010
_cell_length_c 9.1101
_cell_angle_alpha 90.00
_cell_angle_beta 90.00
_cell_angle_gamma 120.00
loop_
_atom_site_label
_atom_site_fract_x
_atom_site_fract_y
_atom_site_fract_z
Pm1 0.0384 0.2554 0.4234
Pm2 0.0614 0.1808 0.8331
Sn1 0.0000 0.0000 0.5000
Rh1 0.0724 0.5007 0.7887
```



Which formula does entry 2 have? Pm12SnRh6